[1]
DFT (PBE) results for Ba2LaRh after structural relaxation.

a b c (Å): 3.791 3.791 10.528
angles (deg): 90.00 90.00 90.00
Space group P4/mmm (No. 123)
Symmetry-distinct sites (fractional):
Ba 0.000 0.000 0.175 x2
La 0.500 0.500 0.500 x1
Rh 0.500 0.500 0.000 x1

Its relative energy among the computed polymorphs is 1.79 eV/f.u. As for the total energy: -3.916 eV per atom. The energy of formation is 0.460 eV/f.u.

[2]
DFT (PBE) results for Tm3PuRu4 after structural relaxation.

a b c (Å): 14.271 4.741 4.741
angles (deg): 90.00 109.31 90.00
Space group C2/m (No. 12)
Symmetry-distinct sites (fractional):
Tm 0.000 0.000 0.000 x2
Tm 0.248 0.000 0.248 x4
Pu 0.000 0.500 0.500 x2
Ru 0.120 0.000 0.620 x4
Ru 0.120 0.500 0.121 x4

As for the total energy: -8.496 eV per atom. The energy of formation is -3.119 eV/f.u.

[3]
DFT (PBE) results for NdSiNi4 after structural relaxation.

a b c (Å): 5.179 8.312 3.956
angles (deg): 90.00 90.00 90.00
Space group Cmmm (No. 65)
Symmetry-distinct sites (fractional):
Nd 0.000 0.000 0.000 x2
Si 0.000 0.500 0.500 x2
Ni 0.000 0.343 0.000 x4
Ni 0.250 0.250 0.500 x4

Its relative energy among the computed polymorphs is 0.00 eV/f.u. As for the total energy: -6.103 eV per atom. For the formation energy from raw total energies, the calculation gives -3.30 eV per formula unit.

[4]
DFT (PBE) results for Na3Be2As2 after structural relaxation.

a b c (Å): 6.047 7.482 12.422
angles (deg): 90.00 90.00 90.00
Space group Pbcm (No. 57)
Symmetry-distinct sites (fractional):
Na 0.099 0.138 0.110 x8
Na 0.347 0.703 0.750 x4
Be 0.362 0.014 0.586 x8
As 0.205 0.062 0.750 x4
As 0.453 0.750 0.000 x4

As for the total energy: -3.109 eV per atom. The energy of formation is -1.054 eV/f.u.

[5]
DFT (PBE) results for HfAlFe after structural relaxation.

a b c (Å): 3.010 3.010 10.234
angles (deg): 90.00 90.00 90.00
Space group I4mm (No. 107)
Symmetry-distinct sites (fractional):
Hf 0.000 0.000 0.000 x2
Al 0.000 0.000 0.712 x2
Fe 0.000 0.000 0.342 x2

As for the total energy: -7.686 eV per atom. The energy of formation is -0.901 eV/f.u.

[6]
DFT (PBE) results for V7Sn2Ge2 after structural relaxation.

a b c (Å): 4.483 8.536 8.939
angles (deg): 90.00 90.00 90.00
Space group Immm (No. 71)
Symmetry-distinct sites (fractional):
V 0.000 0.000 0.000 x2
V 0.000 0.187 0.200 x8
V 0.243 0.500 0.000 x4
Sn 0.000 0.286 0.500 x4
Ge 0.000 0.500 0.258 x4

As for the total energy: -7.260 eV per atom. The energy of formation is 1.208 eV/f.u.

[7]
DFT (PBE) results for NaZrF2 after structural relaxation.

a b c (Å): 3.0660 3.0660 23.9475
angles (deg): 90.00 90.00 120.00
Space group R-3m (No. 166, hexagonal axes)
Symmetry-distinct sites (fractional):
Na 0.0000 0.0000 0.0000 x3
Zr 0.0000 0.0000 0.5000 x3
F 0.0000 0.0000 0.1007 x6

Its relative energy among the computed polymorphs is 1.27 eV/f.u. As for the total energy: -5.406 eV per atom. For the formation energy from raw total energies, the calculation gives -8.02 eV per formula unit.

[8]
DFT (PBE) results for Ta2FeAu after structural relaxation.

a b c (Å): 6.367 6.367 6.367
angles (deg): 90.00 90.00 90.00
Space group F-43m (No. 216)
Symmetry-distinct sites (fractional):
Ta 0.000 0.000 0.000 x4
Ta 0.250 0.250 0.250 x4
Fe 0.000 0.000 0.500 x4
Au 0.250 0.250 0.750 x4

Its relative energy among the computed polymorphs is 1.14 eV/f.u. As for the total energy: -8.606 eV per atom. The energy of formation is 1.023 eV/f.u.

[9]
DFT (PBE) results for CsRbTl2Cl8 after structural relaxation.

a b c (Å): 7.346 7.346 16.676
angles (deg): 90.00 90.00 90.00
Space group I-4 (No. 82)
Symmetry-distinct sites (fractional):
Cs 0.000 0.000 0.000 x2
Rb 0.000 0.500 0.750 x2
Tl 0.000 0.000 0.500 x2
Tl 0.000 0.500 0.250 x2
Cl 0.142 0.240 0.584 x8
Cl 0.155 0.737 0.170 x8

As for the total energy: -2.939 eV per atom. For the formation energy from raw total energies, the calculation gives -13.94 eV per formula unit.

[10]
DFT (PBE) results for Mn2ZnCoH after structural relaxation.

a b c (Å): 3.630 3.630 3.847
angles (deg): 90.00 90.00 90.00
Space group P4/mmm (No. 123)
Symmetry-distinct sites (fractional):
Mn 0.000 0.500 0.000 x2
Zn 0.000 0.000 0.500 x1
Co 0.500 0.500 0.500 x1
H 0.000 0.000 0.000 x1

Its relative energy among the computed polymorphs is 0.72 eV/f.u. As for the total energy: -5.872 eV per atom.

[11]
DFT (PBE) results for SeCl2 after structural relaxation.

a b c (Å): 12.579 3.511 9.349
angles (deg): 90.00 96.50 90.00
Space group C2/m (No. 12)
Symmetry-distinct sites (fractional):
Se 0.007 0.000 0.249 x4
Cl 0.118 0.500 0.854 x4
Cl 0.131 0.500 0.352 x4

As for the total energy: -2.514 eV per atom. For the formation energy from raw total energies, the calculation gives -0.36 eV per formula unit.

[12]
DFT (PBE) results for NbHg3N after structural relaxation.

a b c (Å): 5.725 5.725 5.725
angles (deg): 90.00 90.00 90.00
Space group Pm-3m (No. 221)
Symmetry-distinct sites (fractional):
Nb 0.000 0.000 0.000 x1
Hg 0.000 0.000 0.500 x3
N 0.500 0.500 0.500 x1

Its relative energy among the computed polymorphs is 1.68 eV/f.u. As for the total energy: -2.200 eV per atom. For the formation energy from raw total energies, the calculation gives 8.30 eV per formula unit.